(1)
! ScBrN2F GGA-PBE relaxed; values from VASP
&SYSTEM
  ibrav = 0, nat = 5, ntyp = 4
/
ATOMIC_SPECIES
Sc 44.96 Sc.upf
N 14.01 N.upf
Br 79.90 Br.upf
F 19.00 F.upf
ATOMIC_POSITIONS crystal
Sc 0.5000 0.5000 0.5000
N 0.0000 0.5000 0.0000
N 0.5000 0.0000 0.0000
Br 0.0000 0.0000 0.0000
F 0.0000 0.0000 0.5000
CELL_PARAMETERS angstrom
-1.0033 -0.3829 3.9234
3.7577 -1.3164 0.8324
1.2099 3.8895 0.6890
! Space group: No. 123
! Raw formation energy (eV per atom): 0.805
! Energy above the lowest structure with this stoichiometry (meV per atom): 817.8
! Density of states at the Fermi level (states/eV/f.u.): 1.90
! Energy (eV for the cell shown): -22.50

---

(2)
! ScBrN2F GGA-PBE relaxed; values from VASP
&SYSTEM
  ibrav = 0, nat = 5, ntyp = 4
/
ATOMIC_SPECIES
Sc 44.96 Sc.upf
N 14.01 N.upf
Br 79.90 Br.upf
F 19.00 F.upf
ATOMIC_POSITIONS crystal
Sc 0.0000 0.0000 0.0000
N 0.0000 0.5000 0.0000
N 0.5000 0.0000 0.0000
Br 0.5000 0.5000 0.5000
F 0.0000 0.0000 0.5000
CELL_PARAMETERS angstrom
4.4948 0.0000 0.0000
0.0000 4.4948 0.0000
0.0000 0.0000 4.0039
! Space group: No. 123
! Raw formation energy (eV per atom): -0.013
! Energy above the lowest structure with this stoichiometry (meV per atom): 0.0
! Density of states at the Fermi level (states/eV/f.u.): 3.87
! Energy (eV for the cell shown): -26.59

---

(3)
! ScBrNF2 GGA-PBE relaxed; values from VASP
&SYSTEM
  ibrav = 0, nat = 5, ntyp = 4
/
ATOMIC_SPECIES
Sc 44.96 Sc.upf
N 14.01 N.upf
Br 79.90 Br.upf
F 19.00 F.upf
ATOMIC_POSITIONS crystal
Sc 0.0000 0.0000 0.0000
N 0.0000 0.0000 0.5000
Br 0.5000 0.5000 0.5000
F 0.0000 0.5000 0.0000
F 0.5000 0.0000 0.0000
CELL_PARAMETERS angstrom
-0.4198 -3.6110 -1.6206
2.6399 -1.4697 2.5909
-3.5804 -0.9733 3.0960
! Space group: No. 123
! Raw formation energy (eV per atom): -1.526
! Energy above the lowest structure with this stoichiometry (meV per atom): 0.0
! Density of states at the Fermi level (states/eV/f.u.): 0.84
! Energy (eV for the cell shown): -27.70

---

(4)
! ScBrNF2 GGA-PBE relaxed; values from VASP
&SYSTEM
  ibrav = 0, nat = 5, ntyp = 4
/
ATOMIC_SPECIES
Sc 44.96 Sc.upf
N 14.01 N.upf
Br 79.90 Br.upf
F 19.00 F.upf
ATOMIC_POSITIONS crystal
Sc 0.5000 0.5000 0.5000
N 0.0000 0.0000 0.5000
Br 0.0000 0.0000 0.0000
F 0.0000 0.5000 0.0000
F 0.5000 0.0000 0.0000
CELL_PARAMETERS angstrom
-1.2716 -4.3046 -1.7573
3.5952 -2.0655 2.4580
-2.2713 -0.5102 2.8934
! Space group: No. 123
! Raw formation energy (eV per atom): 0.011
! Energy above the lowest structure with this stoichiometry (meV per atom): 1536.7
! Density of states at the Fermi level (states/eV/f.u.): 4.04
! Energy (eV for the cell shown): -20.02

---

(5)
! SeBr2NF GGA-PBE relaxed; values from VASP
&SYSTEM
  ibrav = 0, nat = 5, ntyp = 4
/
ATOMIC_SPECIES
N 14.01 N.upf
Se 78.96 Se.upf
Br 79.90 Br.upf
F 19.00 F.upf
ATOMIC_POSITIONS crystal
N 0.0000 0.0000 0.0000
Se 0.0000 0.0000 0.5000
Br 0.0000 0.5000 0.0000
Br 0.5000 0.0000 0.0000
F 0.5000 0.5000 0.5000
CELL_PARAMETERS angstrom
-0.8073 -0.1059 4.5238
-1.9871 -4.1201 -0.4510
3.8360 -1.9201 0.6396
! Space group: No. 123
! Raw formation energy (eV per atom): 0.926
! Energy above the lowest structure with this stoichiometry (meV per atom): 0.0
! Density of states at the Fermi level (states/eV/f.u.): 4.83
! Energy (eV for the cell shown): -12.40

---

(6)
! Se2BrNF GGA-PBE relaxed; values from VASP
&SYSTEM
  ibrav = 0, nat = 5, ntyp = 4
/
ATOMIC_SPECIES
N 14.01 N.upf
Se 78.96 Se.upf
Br 79.90 Br.upf
F 19.00 F.upf
ATOMIC_POSITIONS crystal
N 0.0000 0.0000 0.5000
Se 0.0000 0.5000 0.0000
Se 0.5000 0.0000 0.0000
Br 0.5000 0.5000 0.5000
F 0.0000 0.0000 0.0000
CELL_PARAMETERS angstrom
4.5141 0.0000 0.0000
0.0000 4.5141 0.0000
0.0000 0.0000 5.1180
! Space group: No. 123
! Raw formation energy (eV per atom): 1.353
! Energy above the lowest structure with this stoichiometry (meV per atom): 477.8
! Density of states at the Fermi level (states/eV/f.u.): 4.39
! Energy (eV for the cell shown): -12.07

---

(7)
! SeBrN2F GGA-PBE relaxed; values from VASP
&SYSTEM
  ibrav = 0, nat = 5, ntyp = 4
/
ATOMIC_SPECIES
N 14.01 N.upf
Se 78.96 Se.upf
Br 79.90 Br.upf
F 19.00 F.upf
ATOMIC_POSITIONS crystal
N 0.0000 0.5000 0.0000
N 0.5000 0.0000 0.0000
Se 0.0000 0.0000 0.5000
Br 0.5000 0.5000 0.5000
F 0.0000 0.0000 0.0000
CELL_PARAMETERS angstrom
5.0552 0.0000 0.0000
0.0000 5.0552 0.0000
0.0000 0.0000 4.0136
! Space group: No. 123
! Raw formation energy (eV per atom): 2.095
! Energy above the lowest structure with this stoichiometry (meV per atom): 719.0
! Density of states at the Fermi level (states/eV/f.u.): 4.35
! Energy (eV for the cell shown): -13.20

---

(8)
! SeBr2NF GGA-PBE relaxed; values from VASP
&SYSTEM
  ibrav = 0, nat = 5, ntyp = 4
/
ATOMIC_SPECIES
N 14.01 N.upf
Se 78.96 Se.upf
Br 79.90 Br.upf
F 19.00 F.upf
ATOMIC_POSITIONS crystal
N 0.5000 0.5000 0.5000
Se 0.0000 0.0000 0.5000
Br 0.0000 0.5000 0.0000
Br 0.5000 0.0000 0.0000
F 0.0000 0.0000 0.0000
CELL_PARAMETERS angstrom
5.9562 0.0000 0.0000
0.0000 5.9562 0.0000
0.0000 0.0000 3.8578
! Space group: No. 123
! Raw formation energy (eV per atom): 1.263
! Energy above the lowest structure with this stoichiometry (meV per atom): 337.6
! Density of states at the Fermi level (states/eV/f.u.): 8.06
! Energy (eV for the cell shown): -10.71

---

Copy entry 6 word for word.
! Se2BrNF GGA-PBE relaxed; values from VASP
&SYSTEM
  ibrav = 0, nat = 5, ntyp = 4
/
ATOMIC_SPECIES
N 14.01 N.upf
Se 78.96 Se.upf
Br 79.90 Br.upf
F 19.00 F.upf
ATOMIC_POSITIONS crystal
N 0.0000 0.0000 0.5000
Se 0.0000 0.5000 0.0000
Se 0.5000 0.0000 0.0000
Br 0.5000 0.5000 0.5000
F 0.0000 0.0000 0.0000
CELL_PARAMETERS angstrom
4.5141 0.0000 0.0000
0.0000 4.5141 0.0000
0.0000 0.0000 5.1180
! Space group: No. 123
! Raw formation energy (eV per atom): 1.353
! Energy above the lowest structure with this stoichiometry (meV per atom): 477.8
! Density of states at the Fermi level (states/eV/f.u.): 4.39
! Energy (eV for the cell shown): -12.07

---

> The highest raw formation energy belongs to which entry?

SeBrN2F

---

> Which of these has the highest energy above the lowest structure with this stoichiometry?

number 4

---

> What is the density of states at the Fermi level in the fifth record?

4.83 states/eV/f.u.